The following is a DFT calculation (GGA-PBE) of LiYSbAu after structural relaxation. Values from VASP.

Cell and atoms, written as Quantum ESPRESSO input:
```
&SYSTEM
  ibrav = 0, nat = 4, ntyp = 4
/
ATOMIC_SPECIES
Li 6.94 Li.upf
Y 88.91 Y.upf
Sb 121.76 Sb.upf
Au 196.97 Au.upf
CELL_PARAMETERS angstrom
0.0000 3.5196 3.5196
3.5196 0.0000 3.5196
3.5196 3.5196 0.0000
ATOMIC_POSITIONS crystal
Li 0.0000 0.0000 0.0000
Y 0.2500 0.2500 0.2500
Sb 0.5000 0.5000 0.5000
Au 0.7500 0.7500 0.7500
```

Properties
* space group: F-43m

***

The following is a DFT calculation (GGA-PBE) of NbAgCl3 after structural relaxation. Values from VASP.

Cell and atoms, written as Quantum ESPRESSO input:
```
&SYSTEM
  ibrav = 0, nat = 5, ntyp = 3
/
ATOMIC_SPECIES
Nb 92.91 Nb.upf
Ag 107.87 Ag.upf
Cl 35.45 Cl.upf
CELL_PARAMETERS angstrom
4.5494 0.0000 0.0000
0.0000 4.5494 0.0000
0.0000 0.0000 6.6932
ATOMIC_POSITIONS crystal
Nb 0.0000 0.0000 0.0000
Ag 0.5000 0.5000 0.5913
Cl 0.0000 0.5000 0.8344
Cl 0.5000 0.0000 0.8344
Cl 0.5000 0.5000 0.2316
```

Properties
* space group: P4mm

***

The following is a DFT calculation (GGA-PBE) of ZrFeBiMo after structural relaxation. Values from VASP.

Cell and atoms, written as Quantum ESPRESSO input:
```
&SYSTEM
  ibrav = 0, nat = 4, ntyp = 4
/
ATOMIC_SPECIES
Zr 91.22 Zr.upf
Fe 55.84 Fe.upf
Bi 208.98 Bi.upf
Mo 95.94 Mo.upf
CELL_PARAMETERS angstrom
0.0000 3.2922 3.2922
3.2922 0.0000 3.2922
3.2922 3.2922 0.0000
ATOMIC_POSITIONS crystal
Zr 0.0000 0.0000 0.0000
Fe 0.7500 0.7500 0.7500
Bi 0.5000 0.5000 0.5000
Mo 0.2500 0.2500 0.2500
```

Properties
* space group: F-43m

***

The following is a DFT calculation (GGA-PBE) of ZnCoMoPd after structural relaxation. Values from VASP.

Cell and atoms, written as Quantum ESPRESSO input:
```
&SYSTEM
  ibrav = 0, nat = 4, ntyp = 4
/
ATOMIC_SPECIES
Zn 65.41 Zn.upf
Co 58.93 Co.upf
Mo 95.94 Mo.upf
Pd 106.42 Pd.upf
CELL_PARAMETERS angstrom
0.0000 3.0411 3.0411
3.0411 0.0000 3.0411
3.0411 3.0411 0.0000
ATOMIC_POSITIONS crystal
Zn 0.0000 0.0000 0.0000
Co 0.2500 0.2500 0.2500
Mo 0.5000 0.5000 0.5000
Pd 0.7500 0.7500 0.7500
```

Properties
* space group: F-43m

***

Ordered theoretical density results: 7.9 3.7 10.5 9.6; unit Mg/m³.
Ordered E results: -4.324 -3.943 -7.620 -5.984; unit eV/atom.